5
Lattice="3.7985 0.0000 0.0000 0.0000 3.7578 0.0000 0.0000 0.0000 3.7985" Properties=species:S:1:pos:R:3 comment="FeTcH2O | Alexandria via LeMat-Bulk | PBE+U | relaxed" dos_at_fermi_per_ev_atom=0.629 volume_a3_per_cell=54.2 m_tot_mub_per_atom=0.735 total_energy_ev_per_cell=-23.2 space_group="P4/mmm, No. 123" pbc="T T T"
H 0.0000 0.0000 1.8992
H 1.8992 0.0000 0.0000
Fe 1.8992 1.8789 1.8992
O 0.0000 0.0000 0.0000
Tc 0.0000 1.8789 0.0000